# Pd6PtPb

A relaxed Pd6PtPb crystal (PBE-GGA, the Alexandria database).

Cell: 5.1509 5.1580 5.1648 Å, 94.23 94.38 94.47°
Closest atoms and distances in Å follow each position.
Space group P-1 (No. 2)
Asymmetric unit:
Pd  0.0446  0.2550  0.4507 [2 per cell]  4 Pd 2.62-2.78, 1 Pt 2.73, 1 Pb 2.78
Pd  0.2455  0.0497  0.9543 [2 per cell]  4 Pd 2.63-2.78, 1 Pt 2.73, 1 Pb 2.78
Pd  0.4515  0.5442  0.7547 [2 per cell]  4 Pd 2.63-2.78, 1 Pt 2.73, 1 Pb 2.78
Pt  0.0000  0.5000  0.0000 [1 per cell]  12 Pd 2.73-3.05
Pb  0.5000  0.0000  0.5000 [1 per cell]  12 Pd 2.78-3.05

Computed properties:
energy of formation from the pure elements	-0.02	eV per atom
E above lowest polymorph	0.100	eV/atom